# PuV2Mo PBE-GGA relaxed
data_PuV2Mo
_chemical_formula_sum 'Pu4 V8 Mo4'
_cell_length_a 6.341
_cell_length_b 6.341
_cell_length_c 6.341
_cell_angle_alpha 90.00
_cell_angle_beta 90.00
_cell_angle_gamma 90.00
_symmetry_space_group_name_H-M 'F m -3 m'
_symmetry_Int_Tables_number 225
_symmetry_space_group_name_Hall '-F 4 2 3'
loop_
_atom_site_label
_atom_site_type_symbol
_atom_site_fract_x
_atom_site_fract_y
_atom_site_fract_z
Pu1 Pu 0.000 0.000 0.000
V1 V 0.250 0.250 0.250
Mo1 Mo 0.000 0.000 0.500
# Energy relative to the elements, eV per atom: 0.23
# Density of states at the Fermi level, states/eV per cell: 29.18
# Spin magnetization, μB per formula unit: 3.6


# InGaGe2 PBE-GGA relaxed
data_InGaGe2
_chemical_formula_sum 'In4 Ga4 Ge8'
_cell_length_a 6.052
_cell_length_b 6.052
_cell_length_c 11.800
_cell_angle_alpha 90.00
_cell_angle_beta 90.00
_cell_angle_gamma 90.00
_symmetry_space_group_name_H-M 'I -4 2 d'
_symmetry_Int_Tables_number 122
_symmetry_space_group_name_Hall 'I -4 2bw'
loop_
_atom_site_label
_atom_site_type_symbol
_atom_site_fract_x
_atom_site_fract_y
_atom_site_fract_z
In1 In 0.000 0.000 0.000
Ga1 Ga 0.000 0.000 0.500
Ge1 Ge 0.219 0.250 0.625
# Energy relative to the elements, eV per atom: 0.22
# Density of states at the Fermi level, states/eV per cell: 8.72
# Spin magnetization, μB per formula unit: 0.0


# Ac2Si3GeAu4 PBE-GGA relaxed
data_Ac2Si3GeAu4
_chemical_formula_sum 'Ac2 Si3 Ge1 Au4'
_cell_length_a 4.533
_cell_length_b 4.533
_cell_length_c 10.407
_cell_angle_alpha 90.00
_cell_angle_beta 90.00
_cell_angle_gamma 90.00
_symmetry_space_group_name_H-M 'P -4 m 2'
_symmetry_Int_Tables_number 115
_symmetry_space_group_name_Hall 'P -4 -2'
loop_
_atom_site_label
_atom_site_type_symbol
_atom_site_fract_x
_atom_site_fract_y
_atom_site_fract_z
Ac1 Ac 0.000 0.500 0.250
Si1 Si 0.000 0.000 0.000
Si2 Si 0.000 0.500 0.629
Ge1 Ge 0.500 0.500 0.000
Au1 Au 0.000 0.000 0.500
Au2 Au 0.000 0.500 0.870
Au3 Au 0.500 0.500 0.500
# Formation energy without anion corrections, eV per atom: -0.603
# Density of states at the Fermi level, states/eV per cell: 3.62
# Spin magnetization, μB per formula unit: 0.0